[1]
TaOsRh4: optimized geometry, PBE-GGA.

Cell and atoms, written as POSCAR:
```
TaOsRh4
1.0
1.347 2.357 4.264
-3.250 0.293 3.860
0.829 -2.671 4.210
Rh Ta Os
4 1 1
Cartesian
-0.402 -0.008 4.617 Rh
-2.036 0.139 6.558 Rh
0.275 1.177 6.761 Rh
0.015 -1.351 6.734 Rh
-0.806 -0.016 9.251 Ta
0.000 0.000 0.000 Os
```

Computed properties:
Energy relative to the elements   172 meV per atom
D(E_F)   12.5 states/eV/f.u.
E_tot   -51.46 eV per cell
Space-group type   No. 216

=====

[2]
Li2ReTe: optimized geometry, PBE-GGA.

Cell and atoms, written as POSCAR:
```
Li2ReTe
1.0
4.832 -0.030 0.027
1.697 4.525 -0.027
-3.131 -2.442 2.755
Li Te Re
2 1 1
Cartesian
6.470 4.454 0.000 Li
2.534 -0.077 1.391 Li
0.885 2.145 1.364 Te
3.303 2.274 0.000 Re
```

Computed properties:
D(E_F)   2.5 states/eV/f.u.
Uncorrected formation energy   0.1782 eV/atom
E_tot   -18.70 eV per cell
Space-group type   No. 44
Relative energy among the computed polymorphs   29.0 meV per atom

=====

[3]
In2CuIr: optimized geometry, PBE-GGA.

Cell and atoms, written as POSCAR:
```
In2CuIr
1.0
-1.593 -4.511 2.078
2.540 -4.232 -1.685
1.389 4.666 1.871
Cu Ir In
1 1 2
Cartesian
0.135 -2.108 2.073 Cu
0.474 -4.372 0.197 Ir
2.201 -1.969 0.191 In
0.000 0.000 0.000 In
```

Computed properties:
Energy relative to the elements   14 meV per atom
D(E_F)   1.2 states/eV/f.u.
E_tot   -18.38 eV per cell
Space-group type   No. 119

=====

[4]
KLaSe: optimized geometry, PBE-GGA.

Cell and atoms, written as POSCAR:
```
KLaSe
1.0
5.200 0.000 0.000
2.600 4.503 0.000
2.600 1.501 4.246
La Se K
1 1 1
Cartesian
5.200 3.002 2.123 La
7.800 4.503 3.184 Se
0.000 0.000 0.000 K
```

Computed properties:
D(E_F)   2.6 states/eV/f.u.
Uncorrected formation energy   -0.7373 eV/atom
E_tot   -11.72 eV per cell
Space-group type   No. 216
Relative energy among the computed polymorphs   267.6 meV per atom

=====

[5]
Ac2La6Dy: optimized geometry, PBE-GGA.

Cell and atoms, written as POSCAR:
```
Ac2La6Dy
1.0
3.779 0.000 0.000
-1.890 3.273 0.000
0.000 0.000 27.924
La Ac Dy
6 2 1
Cartesian
0.000 2.182 21.997 La
0.000 2.182 5.927 La
0.000 2.182 15.664 La
0.000 2.182 12.260 La
1.890 1.091 25.043 La
1.890 1.091 2.880 La
1.890 1.091 9.156 Ac
1.890 1.091 18.768 Ac
0.000 2.182 0.000 Dy
```

Computed properties:
Energy relative to the elements   66 meV per atom
D(E_F)   16.2 states/eV/f.u.
E_tot   -41.79 eV per cell
Space-group type   No. 187

=====

[6]
YNb2Pd2: optimized geometry, PBE-GGA.

Cell and atoms, written as POSCAR:
```
YNb2Pd2
1.0
-2.430 1.808 -2.352
-2.869 -2.207 1.267
-3.998 4.367 4.360
Nb Pd Y
2 2 1
Cartesian
-4.539 2.987 0.732 Nb
-4.758 0.980 2.542 Nb
-2.915 0.699 0.422 Pd
-6.382 3.269 2.853 Pd
0.000 0.000 0.000 Y
```

Computed properties:
Energy relative to the elements   -256 meV per atom
D(E_F)   5.0 states/eV/f.u.
E_tot   -38.27 eV per cell
Space-group type   No. 139
Relative energy among the computed polymorphs   0.0 meV per atom

=====

Total magnetization values, unit μB/cell, following the record order: 0.001 0.002 0.000 0.008 0.000 0.000.